Entry 1:
DFT (PBE) results for an optimized crystal structure of BaNa2In.

Output
Its uncorrected energy is -7.40 eV for the cell shown. The energy relative to the elements is -0.026 eV per atom. As for the crystal system: tetragonal.

Cell: 4.349 4.349 7.909 Å, 90.00 90.00 90.00°
Atoms (fractional coordinates):
Ba1 0.000 0.000 0.000
Na1 0.500 0.500 0.306
Na2 0.500 0.500 0.694
In1 0.000 0.000 0.500

=====

Entry 2:
DFT (PBE) results for an optimized crystal structure of ScFeTe2.

Output
Its uncorrected energy is -20.31 eV for the cell shown. As for the crystal system: cubic.

Cell: 5.023 5.023 5.023 Å, 60.00 60.00 60.00°
Atoms (fractional coordinates):
Sc1 0.000 0.000 0.000
Fe1 0.750 0.750 0.750
Te1 0.250 0.250 0.250
Te2 0.500 0.500 0.500

=====

Entry 3:
DFT (PBE) results for an optimized crystal structure of RbCo2CuH.

Output
Its uncorrected energy is -16.03 eV for the cell shown. As for the crystal system: tetragonal.

Cell: 4.431 4.431 6.757 Å, 90.00 90.00 90.00°
Atoms (fractional coordinates):
Rb1 0.000 0.000 0.000
Co1 0.000 0.500 0.500
Co2 0.500 0.000 0.500
Cu1 0.000 0.000 0.500
H1 0.500 0.500 0.000

=====

Entry 4:
DFT (PBE) results for an optimized crystal structure of Ti3Te6Rh.

Output
Its uncorrected energy is -108.98 eV for the cell shown. As for the crystal system: trigonal.

Cell: 7.957 7.957 7.957 Å, 87.29 87.29 87.29°
Atoms (fractional coordinates):
Ti1 0.062 0.201 0.590
Ti2 0.201 0.590 0.062
Ti3 0.410 0.938 0.799
Ti4 0.590 0.062 0.201
Ti5 0.799 0.410 0.938
Ti6 0.938 0.799 0.410
Te1 0.097 0.860 0.697
Te2 0.140 0.303 0.903
Te3 0.180 0.524 0.409
Te4 0.303 0.903 0.140
Te5 0.409 0.180 0.524
Te6 0.476 0.591 0.820
Te7 0.524 0.409 0.180
Te8 0.591 0.820 0.476
Te9 0.697 0.097 0.860
Te10 0.820 0.476 0.591
Te11 0.860 0.697 0.097
Te12 0.903 0.140 0.303
Rh1 0.000 0.000 0.000
Rh2 0.500 0.500 0.500

=====

- Among the records above, which one has the highest uncorrected energy?
  BaNa2In

=====

- What is the uncorrected energy in the second record?
  -20.31 eV for the cell shown

=====

- Among the records above, which one has the lowest uncorrected energy?
  Ti3Te6Rh

=====

- Among the records above, which one has the lowest uncorrected energy?
  Ti3Te6Rh